Entry 1:
Eu2DySn PBE relaxed; SG = P4/mmm, No. 123; calculated formation energy = -385 meV per atom; crystal system = tetragonal
1.0
4.873 0.000 0.000
0.000 4.873 0.000
0.000 0.000 5.166
Eu Dy Sn
2 1 1
direct
0.000 0.500 0.000
0.500 0.000 0.000
0.000 0.000 0.500
0.500 0.500 0.500

Entry 2:
EuErIn2 PBE relaxed; SG = P4/mmm, No. 123; calculated formation energy = -465 meV per atom; crystal system = tetragonal
1.0
3.835 0.000 0.000
0.000 3.835 0.000
0.000 0.000 7.682
Eu Er In
1 1 2
direct
0.000 0.000 0.000
0.000 0.000 0.500
0.500 0.500 0.271
0.500 0.500 0.729

Entry 3:
Ho4NiAg3 PBE relaxed; SG = P4/mmm, No. 123; calculated formation energy = -349 meV per atom; crystal system = tetragonal
1.0
3.540 0.000 0.000
0.000 3.540 0.000
0.000 0.000 14.379
Ho Ni Ag
4 1 3
direct
0.000 0.000 0.112
0.000 0.000 0.371
0.000 0.000 0.629
0.000 0.000 0.888
0.500 0.500 0.000
0.500 0.500 0.243
0.500 0.500 0.500
0.500 0.500 0.757

Entry 4:
CsTcAs3 PBE relaxed; SG = Pm-3m, No. 221; calculated formation energy = 2397 meV per atom; crystal system = cubic
1.0
5.628 0.000 0.000
0.000 5.628 0.000
0.000 0.000 5.628
Cs Tc As
1 1 3
direct
0.000 0.000 0.000
0.500 0.500 0.500
0.000 0.000 0.500
0.000 0.500 0.000
0.500 0.000 0.000

Entry 5:
YHg2TeO6 PBE relaxed; SG = R-3, No. 148; formation energy without anion corrections = -1.30 eV/atom; crystal system = trigonal
1.0
2.894 1.671 4.938
-2.894 1.671 4.938
0.000 -3.342 4.938
Y Hg Te O
1 2 1 6
direct
0.000 0.000 0.000
0.249 0.249 0.249
0.751 0.751 0.751
0.500 0.500 0.500
0.161 0.731 0.372
0.269 0.628 0.839
0.372 0.161 0.731
0.628 0.839 0.269
0.731 0.372 0.161
0.839 0.269 0.628

Entry 6:
K2Li2TbCl6 PBE relaxed; SG = P-31m, No. 162; formation energy without anion corrections = -1.80 eV/atom; crystal system = trigonal
1.0
6.793 0.000 0.000
-3.397 5.883 0.000
0.000 0.000 7.422
K Li Tb Cl
2 2 1 6
direct
0.333 0.667 0.000
0.667 0.333 0.000
0.333 0.667 0.500
0.667 0.333 0.500
0.000 0.000 0.500
0.000 0.345 0.304
0.000 0.655 0.696
0.345 0.000 0.304
0.345 0.345 0.696
0.655 0.000 0.696
0.655 0.655 0.304